Entry 1:
DFT (PBE-GGA) results for an optimized crystal structure of VSeS2N. Values from VASP.

Properties
- ρ (g/cm³) = 4.24
- final energy (eV/f.u.) = -27.8
- energy relative to the elements, uncorrected (kJ/mol of formula units) = 135.0

Geometry as Quantum ESPRESSO input:
```
&SYSTEM
  ibrav = 0, nat = 5, ntyp = 4
/
ATOMIC_SPECIES
V 50.94 V.upf
Se 78.96 Se.upf
S 32.06 S.upf
N 14.01 N.upf
CELL_PARAMETERS angstrom
4.739 0.000 0.000
0.000 4.739 0.000
0.000 0.000 3.624
ATOMIC_POSITIONS crystal
V 0.000 0.000 0.000
Se 0.500 0.500 0.500
S 0.000 0.500 0.000
S 0.500 0.000 0.000
N 0.000 0.000 0.500
```

Entry 2:
DFT (PBE-GGA) results for an optimized crystal structure of VSeS2N. Values from VASP.

Properties
- ρ (g/cm³) = 4.09
- final energy (eV/f.u.) = -23.2
- energy relative to the elements, uncorrected (kJ/mol of formula units) = 577.5

Geometry as Quantum ESPRESSO input:
```
&SYSTEM
  ibrav = 0, nat = 5, ntyp = 4
/
ATOMIC_SPECIES
V 50.94 V.upf
Se 78.96 Se.upf
S 32.06 S.upf
N 14.01 N.upf
CELL_PARAMETERS angstrom
4.844 0.000 0.000
0.000 4.844 0.000
0.000 0.000 3.600
ATOMIC_POSITIONS crystal
V 0.000 0.000 0.000
Se 0.500 0.500 0.500
S 0.000 0.500 0.500
S 0.500 0.000 0.500
N 0.500 0.500 0.000
```

Entry 3:
DFT (PBE-GGA) results for an optimized crystal structure of YSeSN2. Values from VASP.

Properties
- ρ (g/cm³) = 5.09
- final energy (eV/f.u.) = -28.7
- energy relative to the elements, uncorrected (kJ/mol of formula units) = 192.1

Geometry as Quantum ESPRESSO input:
```
&SYSTEM
  ibrav = 0, nat = 5, ntyp = 4
/
ATOMIC_SPECIES
Y 88.91 Y.upf
Se 78.96 Se.upf
S 32.06 S.upf
N 14.01 N.upf
CELL_PARAMETERS angstrom
3.956 0.000 0.000
0.000 3.956 0.000
0.000 0.000 4.756
ATOMIC_POSITIONS crystal
Y 0.000 0.000 0.000
Se 0.500 0.500 0.500
S 0.500 0.500 0.000
N 0.000 0.500 0.500
N 0.500 0.000 0.500
```

Entry 4:
DFT (PBE-GGA) results for an optimized crystal structure of YSe2SN. Values from VASP.

Properties
- ρ (g/cm³) = 5.26
- final energy (eV/f.u.) = -25.7
- energy relative to the elements, uncorrected (kJ/mol of formula units) = 15.6

Geometry as Quantum ESPRESSO input:
```
&SYSTEM
  ibrav = 0, nat = 5, ntyp = 4
/
ATOMIC_SPECIES
Y 88.91 Y.upf
Se 78.96 Se.upf
S 32.06 S.upf
N 14.01 N.upf
CELL_PARAMETERS angstrom
5.085 0.000 0.000
0.000 5.085 0.000
0.000 0.000 3.577
ATOMIC_POSITIONS crystal
Y 0.000 0.000 0.000
Se 0.000 0.500 0.500
Se 0.500 0.000 0.500
S 0.500 0.500 0.500
N 0.500 0.500 0.000
```

Entry 5:
DFT (PBE-GGA) results for an optimized crystal structure of YSeSN2. Values from VASP.

Properties
- ρ (g/cm³) = 5.20
- final energy (eV/f.u.) = -27.6
- energy relative to the elements, uncorrected (kJ/mol of formula units) = 298.0

Geometry as Quantum ESPRESSO input:
```
&SYSTEM
  ibrav = 0, nat = 5, ntyp = 4
/
ATOMIC_SPECIES
Y 88.91 Y.upf
Se 78.96 Se.upf
S 32.06 S.upf
N 14.01 N.upf
CELL_PARAMETERS angstrom
3.915 0.000 0.000
0.000 3.915 0.000
0.000 0.000 4.750
ATOMIC_POSITIONS crystal
Y 0.000 0.000 0.000
Se 0.500 0.500 0.000
S 0.500 0.500 0.500
N 0.000 0.500 0.500
N 0.500 0.000 0.500
```

Entry 6:
DFT (PBE-GGA) results for an optimized crystal structure of Y8Se3S4N. Values from VASP.

Properties
- ρ (g/cm³) = 5.21
- final energy (eV/f.u.) = -116.4
- energy relative to the elements, uncorrected (kJ/mol of formula units) = -2832.7

Geometry as Quantum ESPRESSO input:
```
&SYSTEM
  ibrav = 0, nat = 16, ntyp = 4
/
ATOMIC_SPECIES
Y 88.91 Y.upf
Se 78.96 Se.upf
S 32.06 S.upf
N 14.01 N.upf
CELL_PARAMETERS angstrom
3.963 2.288 6.383
-3.963 2.288 6.383
0.000 -4.577 6.383
ATOMIC_POSITIONS crystal
Y 0.215 0.774 0.774
Y 0.226 0.226 0.785
Y 0.226 0.785 0.226
Y 0.243 0.243 0.243
Y 0.757 0.757 0.757
Y 0.774 0.215 0.774
Y 0.774 0.774 0.215
Y 0.785 0.226 0.226
Se 0.000 0.500 0.500
Se 0.500 0.000 0.500
Se 0.500 0.500 0.000
S 0.000 0.000 0.500
S 0.000 0.500 0.000
S 0.500 0.000 0.000
S 0.500 0.500 0.500
N 0.000 0.000 0.000
```

Entry 7:
DFT (PBE-GGA) results for an optimized crystal structure of YSeS2N. Values from VASP.

Properties
- ρ (g/cm³) = 4.50
- final energy (eV/f.u.) = -26.5
- energy relative to the elements, uncorrected (kJ/mol of formula units) = 0.1

Geometry as Quantum ESPRESSO input:
```
&SYSTEM
  ibrav = 0, nat = 5, ntyp = 4
/
ATOMIC_SPECIES
Y 88.91 Y.upf
Se 78.96 Se.upf
S 32.06 S.upf
N 14.01 N.upf
CELL_PARAMETERS angstrom
4.906 0.000 0.000
0.000 4.906 0.000
0.000 0.000 3.772
ATOMIC_POSITIONS crystal
Y 0.000 0.000 0.000
Se 0.500 0.500 0.500
S 0.000 0.500 0.500
S 0.500 0.000 0.500
N 0.500 0.500 0.000
```

Entry 8:
DFT (PBE-GGA) results for an optimized crystal structure of YSe2SN. Values from VASP.

Properties
- ρ (g/cm³) = 3.76
- final energy (eV/f.u.) = -22.4
- energy relative to the elements, uncorrected (kJ/mol of formula units) = 334.6

Geometry as Quantum ESPRESSO input:
```
&SYSTEM
  ibrav = 0, nat = 5, ntyp = 4
/
ATOMIC_SPECIES
Y 88.91 Y.upf
Se 78.96 Se.upf
S 32.06 S.upf
N 14.01 N.upf
CELL_PARAMETERS angstrom
5.542 0.000 0.000
0.000 5.542 0.000
0.000 0.000 4.209
ATOMIC_POSITIONS crystal
Y 0.000 0.000 0.000
Se 0.000 0.500 0.000
Se 0.500 0.000 0.000
S 0.500 0.500 0.500
N 0.000 0.000 0.500
```

Entry 9:
DFT (PBE-GGA) results for an optimized crystal structure of YSeS2N. Values from VASP.

Properties
- ρ (g/cm³) = 3.43
- final energy (eV/f.u.) = -23.6
- energy relative to the elements, uncorrected (kJ/mol of formula units) = 286.7

Geometry as Quantum ESPRESSO input:
```
&SYSTEM
  ibrav = 0, nat = 5, ntyp = 4
/
ATOMIC_SPECIES
Y 88.91 Y.upf
Se 78.96 Se.upf
S 32.06 S.upf
N 14.01 N.upf
CELL_PARAMETERS angstrom
5.324 0.000 0.000
0.000 5.324 0.000
0.000 0.000 4.199
ATOMIC_POSITIONS crystal
Y 0.000 0.000 0.000
Se 0.500 0.500 0.500
S 0.000 0.500 0.000
S 0.500 0.000 0.000
N 0.000 0.000 0.500
```

Entry 10:
DFT (PBE-GGA) results for an optimized crystal structure of Y8Se3S3N. Values from VASP.

Properties
- ρ (g/cm³) = 5.04
- final energy (eV/f.u.) = -108.4
- energy relative to the elements, uncorrected (kJ/mol of formula units) = -2467.0

Geometry as Quantum ESPRESSO input:
```
&SYSTEM
  ibrav = 0, nat = 15, ntyp = 4
/
ATOMIC_SPECIES
Y 88.91 Y.upf
Se 78.96 Se.upf
S 32.06 S.upf
N 14.01 N.upf
CELL_PARAMETERS angstrom
3.918 2.262 6.557
-3.918 2.262 6.557
0.000 -4.524 6.557
ATOMIC_POSITIONS crystal
Y 0.242 0.242 0.242
Y 0.267 0.722 0.722
Y 0.278 0.278 0.733
Y 0.278 0.733 0.278
Y 0.722 0.267 0.722
Y 0.722 0.722 0.267
Y 0.733 0.278 0.278
Y 0.758 0.758 0.758
Se 0.000 0.500 0.500
Se 0.500 0.000 0.500
Se 0.500 0.500 0.000
S 0.000 0.000 0.500
S 0.000 0.500 0.000
S 0.500 0.000 0.000
N 0.500 0.500 0.500
```

Entry 11:
DFT (PBE-GGA) results for an optimized crystal structure of YSeSN2. Values from VASP.

Properties
- ρ (g/cm³) = 3.40
- final energy (eV/f.u.) = -25.7
- energy relative to the elements, uncorrected (kJ/mol of formula units) = 482.4

Geometry as Quantum ESPRESSO input:
```
&SYSTEM
  ibrav = 0, nat = 5, ntyp = 4
/
ATOMIC_SPECIES
Y 88.91 Y.upf
Se 78.96 Se.upf
S 32.06 S.upf
N 14.01 N.upf
CELL_PARAMETERS angstrom
4.465 0.000 0.000
0.000 4.465 0.000
0.000 0.000 5.586
ATOMIC_POSITIONS crystal
Y 0.000 0.000 0.000
Se 0.500 0.500 0.500
S 0.000 0.000 0.500
N 0.000 0.500 0.000
N 0.500 0.000 0.000
```

Entry 12:
DFT (PBE-GGA) results for an optimized crystal structure of ZrSeS2N. Values from VASP.

Properties
- ρ (g/cm³) = 4.78
- final energy (eV/f.u.) = -26.0
- energy relative to the elements, uncorrected (kJ/mol of formula units) = 253.9

Geometry as Quantum ESPRESSO input:
```
&SYSTEM
  ibrav = 0, nat = 5, ntyp = 4
/
ATOMIC_SPECIES
Zr 91.22 Zr.upf
Se 78.96 Se.upf
S 32.06 S.upf
N 14.01 N.upf
CELL_PARAMETERS angstrom
4.885 0.000 0.000
0.000 4.885 0.000
0.000 0.000 3.617
ATOMIC_POSITIONS crystal
Zr 0.000 0.000 0.000
Se 0.500 0.500 0.500
S 0.000 0.500 0.500
S 0.500 0.000 0.500
N 0.500 0.500 0.000
```

Entry 13:
DFT (PBE-GGA) results for an optimized crystal structure of ZrSe2SN. Values from VASP.

Properties
- ρ (g/cm³) = 5.66
- final energy (eV/f.u.) = -25.9
- energy relative to the elements, uncorrected (kJ/mol of formula units) = 197.6

Geometry as Quantum ESPRESSO input:
```
&SYSTEM
  ibrav = 0, nat = 5, ntyp = 4
/
ATOMIC_SPECIES
Zr 91.22 Zr.upf
Se 78.96 Se.upf
S 32.06 S.upf
N 14.01 N.upf
CELL_PARAMETERS angstrom
5.056 0.000 0.000
0.000 5.056 0.000
0.000 0.000 3.391
ATOMIC_POSITIONS crystal
Zr 0.000 0.000 0.000
Se 0.000 0.500 0.500
Se 0.500 0.000 0.500
S 0.500 0.500 0.500
N 0.500 0.500 0.000
```

Entry 14:
DFT (PBE-GGA) results for an optimized crystal structure of ZrSe2SN. Values from VASP.

Properties
- ρ (g/cm³) = 4.29
- final energy (eV/f.u.) = -26.0
- energy relative to the elements, uncorrected (kJ/mol of formula units) = 191.0

Geometry as Quantum ESPRESSO input:
```
&SYSTEM
  ibrav = 0, nat = 5, ntyp = 4
/
ATOMIC_SPECIES
Zr 91.22 Zr.upf
Se 78.96 Se.upf
S 32.06 S.upf
N 14.01 N.upf
CELL_PARAMETERS angstrom
5.321 0.000 0.000
0.000 5.321 0.000
0.000 0.000 4.032
ATOMIC_POSITIONS crystal
Zr 0.000 0.000 0.000
Se 0.000 0.500 0.000
Se 0.500 0.000 0.000
S 0.500 0.500 0.500
N 0.000 0.000 0.500
```